No. 1
Below is a geometry-optimized RhWSe2 structure, with properties calculated at the PBE-GGA level.

For the distance to the lowest polymorph of the same formula, the calculation gives 111.4 meV per atom. As for the crystal system: triclinic. The raw formation energy comes out at -0.107 eV per atom.

a b c (Å): 4.650 6.318 6.528
angles (deg): 118.79 92.27 104.53
Space group P-1 (No. 2)
Symmetry-distinct sites (fractional):
Rh 0.171 0.244 0.178 x2
W 0.357 0.818 0.043 x2
Se 0.181 0.312 0.837 x2
Se 0.326 0.747 0.625 x2


No. 2
Below is a geometry-optimized Rh2WSe structure, with properties calculated at the PBE-GGA level.

As for the crystal system: orthorhombic. The raw formation energy comes out at 0.212 eV per atom.

a b c (Å): 3.008 4.460 4.526
angles (deg): 90.00 90.00 90.00
Space group Pmmm (No. 47)
Symmetry-distinct sites (fractional):
Rh 0.000 0.000 0.000 x1
Rh 0.500 0.000 0.500 x1
W 0.000 0.500 0.500 x1
Se 0.500 0.500 0.000 x1